Material: VZnH
Method: DFT, PBE-GGA
State: optimized geometry

## Properties
Its relative energy among the computed polymorphs is 0.0011 eV/atom.

Cell and atoms, written as POSCAR:
```
VZnH
1.0
-1.3929 -1.0356 -2.2355
2.6341 0.9884 -0.3075
1.6319 -4.0779 0.8722
Zn V H
1 1 1
Direct
0.0000 0.0000 0.9653
0.6667 0.3333 0.4448
0.3333 0.6667 0.5899
```

Material: Sc2TaCo
Method: DFT, PBE-GGA
State: optimized geometry

## Properties
Its relative energy among the computed polymorphs is 0.4990 eV/atom. The energy of formation from the pure elements is 418 meV per atom.

Cell and atoms, written as POSCAR:
```
Sc2TaCo
1.0
-9.4358 2.0850 -0.0324
-9.0564 1.6691 2.9290
-8.4589 4.3538 1.6953
Ta Sc Co
1 2 1
Direct
0.5000 0.5000 0.5000
0.9198 0.9198 0.9198
0.0802 0.0802 0.0802
0.0000 0.0000 0.0000
```

Material: MgCrB14
Method: DFT, PBE-GGA
State: optimized geometry

## Properties
The energy of formation from the pure elements is -71 meV per atom.

Cell and atoms, written as POSCAR:
```
MgCrB14
1.0
0.7160 -5.5632 1.8081
6.8010 -2.2885 -0.1302
2.6489 -0.6222 6.6411
B Cr Mg
28 2 2
Direct
0.3283 0.9639 0.8721
0.1513 0.2401 0.4572
0.3357 0.3721 0.4639
0.1671 0.7999 0.8659
0.5958 0.3973 0.7268
0.2199 0.7732 0.1027
0.9105 0.9153 0.2638
0.1643 0.0361 0.1279
0.8329 0.2001 0.1341
0.2801 0.3973 0.7268
0.9042 0.7732 0.1027
0.8283 0.3721 0.4639
0.7199 0.6027 0.2732
0.0958 0.2268 0.8973
0.5895 0.2362 0.5847
0.6643 0.6279 0.5361
0.4042 0.6027 0.2732
0.4105 0.7638 0.4153
0.3329 0.6341 0.7001
0.3487 0.0428 0.2599
0.7801 0.2268 0.8973
0.0895 0.0847 0.7362
0.6513 0.9572 0.7401
0.8357 0.9639 0.8721
0.1717 0.6279 0.5361
0.6717 0.0361 0.1279
0.6671 0.3659 0.2999
0.8487 0.7599 0.5428
0.5000 0.0000 0.5000
0.0000 0.0000 0.5000
0.2500 0.4084 0.0916
0.7500 0.5916 0.9084
```

Material: Tb3Er2Sc
Method: DFT, PBE-GGA
State: optimized geometry

## Properties
Its relative energy among the computed polymorphs is 0.0000 eV/atom. The energy of formation from the pure elements is 33 meV per atom.

Cell and atoms, written as POSCAR:
```
Tb3Er2Sc
1.0
-1.6118 4.4947 -1.2872
-9.1253 -2.4844 2.7510
6.7643 1.4585 6.1229
Tb Er Sc
6 4 2
Direct
0.8349 0.0849 0.6698
0.5000 0.7500 0.0000
0.1651 0.9151 0.3302
0.8349 0.5849 0.6698
0.5000 0.2500 0.0000
0.1651 0.4151 0.3302
0.6643 0.1645 0.3289
0.3357 0.8355 0.6711
0.3353 0.3355 0.6711
0.6647 0.6645 0.3289
0.0000 0.5000 0.0000
0.0000 0.0000 0.0000
```

Material: Ca2TeW
Method: DFT, PBE-GGA
State: optimized geometry

## Properties
Its relative energy among the computed polymorphs is 0.0235 eV/atom. The value obtained for the energy relative to the elements, uncorrected is 0.227 eV per atom.

Cell and atoms, written as POSCAR:
```
Ca2TeW
1.0
-5.4433 2.3102 -1.4993
-4.0852 1.0426 -4.4089
-3.6611 -4.1150 0.0839
W Te Ca
1 1 2
Direct
0.7849 0.7849 0.7591
0.4614 0.4614 0.4975
0.2257 0.2257 0.3003
0.0280 0.0280 0.9431
```

Material: NaY2Ir
Method: DFT, PBE-GGA
State: optimized geometry

## Properties
The energy of formation from the pure elements is -6 meV per atom.

Cell and atoms, written as POSCAR:
```
NaY2Ir
1.0
-4.9044 -2.0314 6.3200
-4.2092 -5.1246 -4.9135
-2.4591 -6.0881 1.5243
Na Ir Y
2 2 4
Direct
0.2500 0.7500 0.5000
0.5000 0.5000 0.0000
0.7500 0.2500 0.5000
0.0000 0.0000 0.0000
0.0586 0.6250 0.2500
0.8750 0.9414 0.7500
0.6914 0.1250 0.2500
0.3750 0.3086 0.7500
```

Material: SmHo5Al
Method: DFT, PBE-GGA
State: optimized geometry

## Properties
The energy of formation from the pure elements is 714 meV per atom.

Cell and atoms, written as POSCAR:
```
SmHo5Al
1.0
6.0862 0.0000 0.0000
0.0000 7.7557 0.0000
-3.0431 -3.8778 5.6715
Sm Ho Al
1 5 1
Direct
0.8297 0.0000 0.0000
0.4649 0.2564 0.5128
0.3387 0.1895 0.0000
0.9521 0.7436 0.4872
0.0369 0.5000 0.0000
0.3387 0.8105 0.0000
0.5696 0.5000 0.0000
```

Material: AsP2Rh
Method: DFT, PBE-GGA
State: optimized geometry

## Properties
The energy of formation from the pure elements is -47 meV per atom.

Cell and atoms, written as POSCAR:
```
AsP2Rh
1.0
-1.8531 -0.1623 2.9196
1.0978 -1.9744 2.6232
2.8558 3.9752 4.1278
P Rh As
2 1 1
Direct
0.4957 0.4957 0.5151
0.0043 0.0043 0.9849
0.7500 0.7500 0.7500
0.2500 0.2500 0.2500
```